The following is a DFT calculation (GGA-PBE) of a relaxed structure of Ir2Os.

## Properties
E   -9.65 eV per atom
Energy relative to the lowest polymorph listed for this composition   0 meV per atom

Cell: 2.7263 2.7263 6.7298 Å, 90.00 90.00 120.00°
Closest atoms and distances in Å follow each position.
Sites, in units of the cell vectors:
Ir 0.3333 0.6667 0.1718  3 Os 2.71, 9 Ir 2.73-2.80
Ir 0.6667 0.3333 0.8282  3 Os 2.71, 9 Ir 2.73-2.80
Os 0.0000 0.0000 0.5000  6 Ir 2.71, 6 Os 2.73